No. 1
{"formula": "RbSrAl3", "functional": "meta-GGA SCAN", "state": "single point on PBEsol structure", "cell": [[-5.600, 0.842, 0.109], [-0.310, -2.704, 4.967], [0.790, 4.905, 2.720]], "species": ["Al", "Al", "Al", "Rb", "Sr"], "frac_coords": [[0.000, 0.500, 0.000], [0.500, 0.000, 0.000], [0.000, 0.000, 0.500], [0.000, 0.000, 0.000], [0.500, 0.500, 0.500]], "delta_e_f_ev_per_atom": 1.23, "sg": "No. 221"}

---

No. 2
{"formula": "RbTaAl3", "functional": "meta-GGA SCAN", "state": "single point on PBEsol structure", "cell": [[-1.009, 5.030, 0.724], [-3.302, -1.210, 3.806], [3.864, 0.280, 3.441]], "species": ["Rb", "Al", "Al", "Al", "Ta"], "frac_coords": [[0.500, 0.500, 0.500], [0.500, 0.000, 0.000], [0.000, 0.000, 0.500], [0.000, 0.500, 0.000], [0.000, 0.000, 0.000]], "delta_e_f_ev_per_atom": 0.59, "sg": "No. 221"}

---

No. 3
{"formula": "Rb2TaTiAl", "functional": "meta-GGA SCAN", "state": "single point on PBEsol structure", "cell": [[5.148, 0.000, 0.000], [0.000, 5.929, 0.000], [0.000, 0.000, 5.929]], "species": ["Ta", "Ti", "Al", "Rb", "Rb"], "frac_coords": [[0.500, 0.500, 0.500], [0.000, 0.000, 0.000], [0.500, 0.000, 0.000], [0.000, 0.000, 0.500], [0.000, 0.500, 0.000]], "delta_e_f_ev_per_atom": 2.10, "sg": "No. 123"}

---

No. 4
{"formula": "RbAl3Tc", "functional": "meta-GGA SCAN", "state": "single point on PBEsol structure", "cell": [[5.269, 0.000, 0.000], [0.000, 5.269, 0.000], [0.000, 0.000, 5.269]], "species": ["Al", "Al", "Al", "Rb", "Tc"], "frac_coords": [[0.000, 0.500, 0.000], [0.500, 0.000, 0.000], [0.000, 0.000, 0.500], [0.000, 0.000, 0.000], [0.500, 0.500, 0.500]], "delta_e_f_ev_per_atom": 2.55, "sg": "No. 221"}

---

No. 5
{"formula": "Rb2AlTe", "functional": "meta-GGA SCAN", "state": "single point on PBEsol structure", "cell": [[5.224, 0.000, 0.000], [0.000, 5.224, 0.000], [-2.612, -2.612, 12.020]], "species": ["Al", "Al", "Rb", "Rb", "Rb", "Rb", "Te", "Te"], "frac_coords": [[0.750, 0.250, 0.500], [0.500, 0.500, 0.000], [0.125, 0.112, 0.750], [0.888, 0.375, 0.250], [0.362, 0.875, 0.250], [0.625, 0.638, 0.750], [0.250, 0.750, 0.500], [0.000, 0.000, 0.000]], "sg": "No. 122"}

---

No. 6
{"formula": "Rb3AlTl", "functional": "meta-GGA SCAN", "state": "single point on PBEsol structure", "cell": [[6.788, 0.000, 0.000], [0.000, 6.788, 0.000], [0.000, 0.000, 6.788]], "species": ["Rb", "Rb", "Rb", "Al", "Tl"], "frac_coords": [[0.000, 0.000, 0.500], [0.000, 0.500, 0.000], [0.500, 0.000, 0.000], [0.000, 0.000, 0.000], [0.500, 0.500, 0.500]], "delta_e_f_ev_per_atom": 0.46, "sg": "No. 221"}

---

No. 7
{"formula": "RbY3Al", "functional": "meta-GGA SCAN", "state": "single point on PBEsol structure", "cell": [[-0.196, 4.757, -2.308], [-1.308, -2.282, -4.591], [-5.123, 0.400, 1.261]], "species": ["Rb", "Al", "Y", "Y", "Y"], "frac_coords": [[0.000, 0.000, 0.000], [0.500, 0.500, 0.500], [0.000, 0.000, 0.500], [0.000, 0.500, 0.000], [0.500, 0.000, 0.000]], "delta_e_f_ev_per_atom": 1.36, "sg": "No. 221"}

---

No. 8
{"formula": "Al2Re", "functional": "meta-GGA SCAN", "state": "single point on PBEsol structure", "cell": [[3.041, 0.000, 0.000], [-1.521, 4.705, 0.001], [0.000, -1.891, 6.123]], "species": ["Al", "Al", "Al", "Al", "Re", "Re"], "frac_coords": [[0.153, 0.306, 0.552], [0.847, 0.694, 0.448], [0.471, 0.943, 0.188], [0.529, 0.057, 0.812], [0.187, 0.374, 0.140], [0.813, 0.626, 0.860]], "delta_e_f_ev_per_atom": -0.28, "sg": "No. 12"}

---

No. 9
{"formula": "Al11Re4", "functional": "meta-GGA SCAN", "state": "single point on PBEsol structure", "cell": [[-3.964, 2.410, -2.249], [2.649, -1.342, -4.186], [-5.181, -7.049, 1.807]], "species": ["Al", "Al", "Al", "Al", "Al", "Al", "Al", "Al", "Al", "Al", "Al", "Re", "Re", "Re", "Re"], "frac_coords": [[0.055, 0.205, 0.334], [0.504, 0.905, 0.128], [0.855, 0.536, 0.128], [0.000, 0.000, 0.000], [0.496, 0.095, 0.872], [0.145, 0.464, 0.872], [0.437, 0.681, 0.622], [0.799, 0.257, 0.637], [0.201, 0.743, 0.363], [0.945, 0.795, 0.666], [0.563, 0.319, 0.378], [0.721, 0.844, 0.396], [0.339, 0.390, 0.132], [0.279, 0.156, 0.604], [0.661, 0.610, 0.868]], "delta_e_f_ev_per_atom": -0.41, "sg": "No. 2"}

---

No. 10
{"formula": "Al6Re", "functional": "meta-GGA SCAN", "state": "single point on PBEsol structure", "cell": [[5.015, 0.001, 0.000], [-0.713, 4.964, 0.000], [0.000, 0.000, 9.013]], "species": ["Al", "Al", "Al", "Al", "Al", "Al", "Al", "Al", "Al", "Al", "Al", "Al", "Re", "Re"], "frac_coords": [[0.028, 0.388, 0.250], [0.132, 0.132, 0.900], [0.675, 0.325, 0.500], [0.132, 0.132, 0.600], [0.868, 0.868, 0.400], [0.325, 0.675, 0.500], [0.325, 0.675, 0.000], [0.675, 0.325, 0.000], [0.972, 0.612, 0.750], [0.612, 0.972, 0.750], [0.388, 0.028, 0.250], [0.868, 0.868, 0.100], [0.543, 0.543, 0.250], [0.457, 0.457, 0.750]], "delta_e_f_ev_per_atom": -0.25, "sg": "No. 63"}

---

No. 11
{"formula": "Al3Re2", "functional": "meta-GGA SCAN", "state": "single point on PBEsol structure", "cell": [[-0.051, 0.417, 2.767], [-1.742, -1.488, 1.607], [7.061, -7.938, 2.744]], "species": ["Al", "Al", "Al", "Re", "Re"], "frac_coords": [[0.798, 0.798, 0.606], [0.000, 0.000, 0.000], [0.202, 0.202, 0.394], [0.400, 0.400, 0.801], [0.600, 0.600, 0.199]], "delta_e_f_ev_per_atom": -0.08, "sg": "No. 166"}

---

No. 12
{"formula": "AlRe", "functional": "meta-GGA SCAN", "state": "single point on PBEsol structure", "cell": [[-0.897, -2.726, 1.096], [-0.721, -0.907, -2.845], [5.516, -2.107, -0.727]], "species": ["Re", "Re", "Al", "Al"], "frac_coords": [[0.000, 0.500, 0.366], [0.500, 0.000, 0.634], [0.500, 0.000, 0.128], [0.000, 0.500, 0.872]], "delta_e_f_ev_per_atom": -0.40, "sg": "No. 129"}

---

Number 1: total moment 0.00 μB per formula unit, calculated total energy -60.1 eV per formula unit. Number 2: total moment 0.00 μB per formula unit, calculated total energy -107.6 eV per formula unit. Number 3: total moment 6.69 μB per formula unit, calculated total energy -121.3 eV per formula unit. Number 4: total moment 3.76 μB per formula unit, calculated total energy -66.3 eV per formula unit. Number 5: total moment 1.00 μB per formula unit, calculated total energy -86.6 eV per formula unit. Number 6: total moment 0.45 μB per formula unit, calculated total energy -140.1 eV per formula unit. Number 7: total moment 0.04 μB per formula unit, calculated total energy -105.2 eV per formula unit. Number 8: total moment 0.00 μB per formula unit, calculated total energy -87.4 eV per formula unit. Number 9: total moment 0.02 μB per formula unit, calculated total energy -375.7 eV per formula unit. Number 10: total moment 0.01 μB per formula unit, calculated total energy -119.3 eV per formula unit. Number 11: total moment 0.00 μB per formula unit, calculated total energy -165.9 eV per formula unit. Number 12: total moment 0.00 μB per formula unit, calculated total energy -79.7 eV per formula unit.